A plane-wave DFT calculation with PBE+U was carried out for a relaxed VMoPO2 crystal.

abc: 3.7314 3.7314 5.1930
angles: 90.00 90.00 90.00
Space group P4/mmm (No. 123)
Inequivalent atoms, fractional coordinates:
V 0.0000 0.0000 0.0000 (multiplicity 1)
Mo 0.5000 0.5000 0.5000 (multiplicity 1)
P 0.0000 0.0000 0.5000 (multiplicity 1)
O 0.0000 0.5000 0.0000 (multiplicity 2)

Output
E_tot = -6.598 eV/atom
total magnetization = 0.800 μB per atom